# 1
A plane-wave DFT calculation with PBE was carried out for a geometry-optimized La11Pr4Ho9 structure.

abc: 15.576 15.576 3.758
angles: 90.00 90.00 113.04
Sites, in units of the cell vectors:
La 0.000 0.000 0.000
La 0.045 0.407 0.000
La 0.159 0.841 0.000
La 0.290 0.290 0.000
La 0.367 0.633 0.000
La 0.407 0.045 0.000
La 0.593 0.955 0.000
La 0.633 0.367 0.000
La 0.710 0.710 0.000
La 0.841 0.159 0.000
La 0.955 0.593 0.000
Pr 0.244 0.445 0.500
Pr 0.445 0.244 0.500
Pr 0.555 0.756 0.500
Pr 0.756 0.555 0.500
Ho 0.065 0.211 0.500
Ho 0.164 0.635 0.500
Ho 0.211 0.065 0.500
Ho 0.365 0.836 0.500
Ho 0.500 0.500 0.500
Ho 0.635 0.164 0.500
Ho 0.789 0.935 0.500
Ho 0.836 0.365 0.500
Ho 0.935 0.789 0.500

Summary:
Calculated total energy ... -112.85 eV/cell
Calculated formation energy ... 70 meV per atom
Crystal system ... orthorhombic
Size of the total moment ... 0.00 μB/atom

---

# 2
A plane-wave DFT calculation with PBE was carried out for a geometry-optimized La3Pr4Ho2 structure.

abc: 9.715 9.715 7.263
angles: 97.35 97.35 77.34
Sites, in units of the cell vectors:
La 0.018 0.982 0.750
La 0.262 0.533 0.317
La 0.467 0.738 0.183
La 0.533 0.262 0.817
La 0.738 0.467 0.683
La 0.982 0.018 0.250
Pr 0.056 0.323 0.511
Pr 0.249 0.551 0.822
Pr 0.323 0.056 0.011
Pr 0.449 0.751 0.678
Pr 0.551 0.249 0.322
Pr 0.677 0.944 0.989
Pr 0.751 0.449 0.178
Pr 0.944 0.677 0.489
Ho 0.057 0.326 0.002
Ho 0.326 0.057 0.502
Ho 0.674 0.943 0.498
Ho 0.943 0.674 0.998

Summary:
Calculated total energy ... -82.05 eV/cell
Calculated formation energy ... 226 meV per atom
Crystal system ... monoclinic
Size of the total moment ... 0.00 μB/atom
Polymorph energy (0 for the lowest one) ... 3.020 kcal/mol of atoms

---

# 3
A plane-wave DFT calculation with PBE was carried out for a geometry-optimized La7Pr2Ho3 structure.

abc: 6.578 3.611 17.899
angles: 90.00 95.42 90.00
Sites, in units of the cell vectors:
La 0.000 0.000 0.000
La 0.229 0.500 0.171
La 0.263 0.500 0.491
La 0.282 0.000 0.835
La 0.718 0.000 0.165
La 0.737 0.500 0.509
La 0.771 0.500 0.829
Pr 0.060 0.500 0.670
Pr 0.940 0.500 0.330
Ho 0.456 0.000 0.338
Ho 0.500 0.500 0.000
Ho 0.544 0.000 0.662

Summary:
Calculated total energy ... -57.09 eV/cell
Calculated formation energy ... 58 meV per atom
Crystal system ... monoclinic
Size of the total moment ... 0.00 μB/atom
Polymorph energy (0 for the lowest one) ... 0.000 kcal/mol of atoms

---

# 4
A plane-wave DFT calculation with PBE was carried out for a geometry-optimized La2PrHo9 structure.

abc: 5.063 5.063 15.199
angles: 90.00 90.00 90.00
Sites, in units of the cell vectors:
La 0.000 0.000 0.166
La 0.000 0.000 0.834
Pr 0.000 0.000 0.500
Ho 0.000 0.500 0.000
Ho 0.000 0.500 0.335
Ho 0.000 0.500 0.665
Ho 0.500 0.000 0.000
Ho 0.500 0.000 0.335
Ho 0.500 0.000 0.665
Ho 0.500 0.500 0.167
Ho 0.500 0.500 0.500
Ho 0.500 0.500 0.833

Summary:
Calculated total energy ... -55.46 eV/cell
Calculated formation energy ... 31 meV per atom
Crystal system ... tetragonal
Size of the total moment ... 0.00 μB/atom
Polymorph energy (0 for the lowest one) ... 0.000 kcal/mol of atoms

---

Q: Number 2 is which compound?
A: La3Pr4Ho2